(1)
{"formula": "MnFe5", "functional": "GGA-PBE", "state": "optimized geometry", "ef_ev_per_atom": 0.06, "lattice": [[3.9398, 0.0000, 0.0000], [0.0000, 1.2295, 6.4548], [0.0000, -1.2295, 6.4548]], "species": ["Mn", "Fe", "Fe", "Fe", "Fe", "Fe"], "fractional_positions": [[0.0000, 0.0000, 0.0000], [0.0000, 0.3322, 0.3322], [0.0000, 0.6665, 0.6665], [0.5000, 0.1099, 0.1099], [0.5000, 0.4420, 0.4420], [0.5000, 0.7765, 0.7765]]}

(2)
{"formula": "Th4RhSe5", "functional": "GGA-PBE", "state": "optimized geometry", "e_form_raw_kj_per_mol_fu": -1418, "lattice": [[9.4288, -2.0814, 0.0000], [9.4288, 2.0814, 0.0000], [-2.4253, 0.0000, 7.8559]], "species": ["Th", "Th", "Th", "Th", "Rh", "Se", "Se", "Se", "Se", "Se"], "fractional_positions": [[0.0009, 0.0009, 0.2688], [0.3263, 0.3263, 0.3694], [0.6737, 0.6737, 0.6306], [0.9991, 0.9991, 0.7312], [0.5000, 0.5000, 0.5000], [0.1647, 0.1647, 0.8640], [0.1679, 0.1679, 0.3663], [0.5000, 0.5000, 0.0000], [0.8321, 0.8321, 0.6337], [0.8353, 0.8353, 0.1360]]}

(3)
{"formula": "HfSc2Cu6", "functional": "GGA-PBE", "state": "optimized geometry", "ef_ev_per_atom": -0.14, "lattice": [[2.3614, -7.1580, 0.0000], [2.3614, 7.1580, 0.0000], [-2.3029, 0.0000, 4.1228]], "species": ["Hf", "Sc", "Sc", "Cu", "Cu", "Cu", "Cu", "Cu", "Cu"], "fractional_positions": [[0.0000, 0.0000, 0.0000], [0.1647, 0.8353, 0.5000], [0.8353, 0.1647, 0.5000], [0.1680, 0.4991, 0.1609], [0.3464, 0.3464, 0.6775], [0.4991, 0.1680, 0.1609], [0.5009, 0.8320, 0.8391], [0.6536, 0.6536, 0.3225], [0.8320, 0.5009, 0.8391]]}

(4)
{"formula": "Dy6As3SeS2", "functional": "GGA-PBE", "state": "optimized geometry", "e_form_raw_kj_per_mol_fu": -2038, "lattice": [[8.8167, -2.0265, 0.0000], [8.8167, 2.0265, 0.0000], [-1.8253, 0.0000, 7.8679]], "species": ["Dy", "Dy", "Dy", "Dy", "Dy", "Dy", "As", "As", "As", "Se", "S", "S"], "fractional_positions": [[0.0013, 0.0013, 0.2582], [0.3298, 0.3298, 0.9139], [0.3324, 0.3324, 0.4176], [0.6676, 0.6676, 0.5824], [0.6702, 0.6702, 0.0861], [0.9987, 0.9987, 0.7418], [0.1652, 0.1652, 0.8325], [0.5000, 0.5000, 0.5000], [0.8348, 0.8348, 0.1675], [0.5000, 0.5000, 0.0000], [0.1672, 0.1672, 0.3335], [0.8328, 0.8328, 0.6665]]}

(5)
{"formula": "Ti2InNi", "functional": "GGA-PBE", "state": "optimized geometry", "ef_ev_per_atom": -0.10, "relative_energy_mev_per_atom": 133, "lattice": [[0.0000, 3.2052, 3.2052], [3.2052, 0.0000, 3.2052], [3.2052, 3.2052, 0.0000]], "species": ["Ti", "Ti", "In", "Ni"], "fractional_positions": [[0.0000, 0.0000, 0.0000], [0.2500, 0.2500, 0.2500], [0.7500, 0.7500, 0.7500], [0.5000, 0.5000, 0.5000]]}

(6)
{"formula": "TaZn2Cu2", "functional": "GGA-PBE", "state": "optimized geometry", "ef_ev_per_atom": 0.07, "relative_energy_mev_per_atom": 0, "lattice": [[7.2673, 0.0000, 0.0000], [0.0000, 7.2673, 0.0000], [0.0000, 0.0000, 2.6681]], "species": ["Ta", "Ta", "Zn", "Zn", "Zn", "Zn", "Cu", "Cu", "Cu", "Cu"], "fractional_positions": [[0.0000, 0.0000, 0.0000], [0.5000, 0.5000, 0.0000], [0.1737, 0.3263, 0.5000], [0.3263, 0.8263, 0.5000], [0.6737, 0.1737, 0.5000], [0.8263, 0.6737, 0.5000], [0.1236, 0.6236, 0.0000], [0.3764, 0.1236, 0.0000], [0.6236, 0.8764, 0.0000], [0.8764, 0.3764, 0.0000]]}